Entry 1:
KCdAg2: relaxed, PBE-GGA.

a b c (Å): 4.273 3.092 8.279
angles (deg): 67.66 90.00 90.00
Element x y z (fractional)
Ag1 0.000 0.934 0.065
Ag2 0.500 0.265 0.234
K1 0.500 0.737 0.763
Cd1 0.000 0.564 0.438

## Properties
Uncorrected energy ... -1.87 eV/atom
Density of states at the Fermi level ... 1.25 states/eV/cell
Calculated volume ... 101.2 Å³/cell
Space-group type ... No. 6

=====

Entry 2:
LaB2C2: relaxed, PBE-GGA.

a b c (Å): 2.996 2.996 12.374
angles (deg): 90.00 90.00 120.00
Element x y z (fractional)
C1 0.667 0.333 0.418
C2 0.333 0.667 0.918
C3 0.667 0.333 0.082
C4 0.333 0.667 0.582
La1 0.000 0.000 0.250
La2 0.000 0.000 0.750
B1 0.667 0.333 0.941
B2 0.333 0.667 0.059
B3 0.333 0.667 0.441
B4 0.667 0.333 0.559

## Properties
Uncorrected energy ... -7.14 eV/atom
Density of states at the Fermi level ... 2.86 states/eV/cell
Calculated volume ... 96.2 Å³/cell
Space-group type ... No. 194

=====

Entry 3:
Ac3Ag4Pd4: relaxed, PBE-GGA.

a b c (Å): 4.411 7.786 8.820
angles (deg): 116.19 104.48 90.00
Element x y z (fractional)
Ag1 0.672 0.862 0.344
Ag2 0.328 0.138 0.656
Ag3 0.672 0.482 0.344
Ag4 0.328 0.518 0.656
Pd1 0.222 0.722 0.445
Pd2 0.500 0.185 0.000
Pd3 0.778 0.278 0.555
Pd4 0.500 0.815 0.000
Ac1 0.000 0.500 0.000
Ac2 0.871 0.871 0.741
Ac3 0.129 0.129 0.259

## Properties
Uncorrected energy ... -4.57 eV/atom
Density of states at the Fermi level ... 4.19 states/eV/cell
Calculated volume ... 261.0 Å³/cell
Space-group type ... No. 71

=====

Entry 4:
DyHf2AlIr4: relaxed, PBE-GGA.

a b c (Å): 4.532 4.532 8.372
angles (deg): 74.30 74.30 60.00
Element x y z (fractional)
Hf1 0.756 0.756 0.732
Hf2 0.244 0.244 0.268
Ir1 0.607 0.607 0.178
Ir2 0.393 0.393 0.822
Ir3 0.130 0.130 0.610
Ir4 0.870 0.870 0.390
Al1 0.500 0.500 0.500
Dy1 0.000 0.000 0.000

## Properties
Uncorrected energy ... -8.82 eV/atom
Density of states at the Fermi level ... 6.00 states/eV/cell
Calculated volume ... 141.5 Å³/cell
Space-group type ... No. 166

=====

Entry 5:
CsLiPb2I6: relaxed, PBE-GGA.

a b c (Å): 8.443 8.439 9.007
angles (deg): 61.93 61.93 59.92
Element x y z (fractional)
Pb1 0.000 0.000 0.999
Pb2 0.520 0.520 0.441
I1 0.256 0.912 0.234
I2 0.913 0.597 0.235
I3 0.599 0.256 0.235
I4 0.185 0.328 0.757
I5 0.328 0.730 0.757
I6 0.729 0.184 0.759
Cs1 0.792 0.793 0.624
Li1 0.340 0.343 0.972

## Properties
Uncorrected energy ... -2.85 eV/atom
Density of states at the Fermi level ... 0.00 states/eV/cell
Calculated volume ... 466.3 Å³/cell
Space-group type ... No. 1

=====

Entry 6:
NdGdTmLu: relaxed, PBE-GGA.

a b c (Å): 5.658 5.658 5.658
angles (deg): 60.00 60.00 60.00
Each line ends with the local moment (μB).
Element x y z (fractional)
Tm1 0.500 0.500 0.500  -0.03
Gd1 0.750 0.750 0.750  -7.18
Nd1 0.250 0.250 0.250  0.06
Lu1 0.000 0.000 0.000  -0.01

## Properties
Uncorrected energy ... -6.87 eV/atom
Density of states at the Fermi level ... 6.51 states/eV/cell
Calculated volume ... 128.0 Å³/cell
Space-group type ... No. 216

=====

Entry 7:
Ta2HgRu: relaxed, PBE-GGA.

a b c (Å): 5.083 5.083 5.083
angles (deg): 133.00 133.00 68.66
Element x y z (fractional)
Hg1 0.250 0.750 0.500
Ru1 0.750 0.250 0.500
Ta1 0.000 0.000 0.000
Ta2 0.500 0.500 0.000

## Properties
Uncorrected energy ... -8.17 eV/atom
Density of states at the Fermi level ... 2.94 states/eV/cell
Calculated volume ... 69.0 Å³/cell
Space-group type ... No. 139

=====

Entry 8:
LuInGaRh: relaxed, PBE-GGA.

a b c (Å): 4.756 4.756 4.756
angles (deg): 60.00 60.00 60.00
Element x y z (fractional)
In1 0.500 0.500 0.500
Lu1 0.000 0.000 0.000
Ga1 0.750 0.750 0.750
Rh1 0.250 0.250 0.250

## Properties
Uncorrected energy ... -4.90 eV/atom
Density of states at the Fermi level ... 1.29 states/eV/cell
Calculated volume ... 76.1 Å³/cell
Space-group type ... No. 216